Entry 1
TiNbSe2N | GGA-PBE | relaxed

Spin magnetization, μB/atom: 0.3558
Density, g/cm³: 5.01
N(E_F), states/eV/f.u.: 4.409

Cell lengths 5.175, 5.175, 3.869 Å; angles 90.00, 90.00, 90.00 degrees
Space group P4/mmm (No. 123)
Inequivalent atoms, fractional coordinates:
Ti1 0.000 0.000 0.000 (multiplicity 1)
Nb1 0.500 0.500 0.500 (multiplicity 1)
Se1 0.000 0.500 0.500 (multiplicity 2)
N1 0.500 0.500 0.000 (multiplicity 1)

Entry 2
TiNbSe2N | GGA-PBE | relaxed

Spin magnetization, μB/atom: 0.4283
Density, g/cm³: 5.52
N(E_F), states/eV/f.u.: 4.469

Cell lengths 5.051, 5.051, 3.690 Å; angles 90.00, 90.00, 90.00 degrees
Space group P4/mmm (No. 123)
Inequivalent atoms, fractional coordinates:
Ti1 0.000 0.000 0.000 (multiplicity 1)
Nb1 0.500 0.500 0.500 (multiplicity 1)
Se1 0.000 0.500 0.000 (multiplicity 2)
N1 0.000 0.000 0.500 (multiplicity 1)

Order of stability, best first: entry 1, entry 2

Entry 1
NbVSeN2 | GGA-PBE | relaxed

Spin magnetization, μB/atom: 0.0505
Density, g/cm³: 4.96
N(E_F), states/eV/f.u.: 8.523

Cell lengths 3.979, 3.979, 5.302 Å; angles 90.00, 90.00, 90.00 degrees
Space group P4/mmm (No. 123)
Inequivalent atoms, fractional coordinates:
Nb1 0.000 0.000 0.000 (multiplicity 1)
V1 0.500 0.500 0.500 (multiplicity 1)
Se1 0.000 0.000 0.500 (multiplicity 1)
N1 0.000 0.500 0.000 (multiplicity 2)

Entry 2
NbVSeN2 | GGA-PBE | relaxed

Spin magnetization, μB/atom: 0.0334
Density, g/cm³: 5.95
N(E_F), states/eV/f.u.: 4.056

Cell lengths 3.786, 3.786, 4.887 Å; angles 90.00, 90.00, 90.00 degrees
Space group P4/mmm (No. 123)
Inequivalent atoms, fractional coordinates:
Nb1 0.000 0.000 0.000 (multiplicity 1)
V1 0.500 0.500 0.500 (multiplicity 1)
Se1 0.500 0.500 0.000 (multiplicity 1)
N1 0.000 0.500 0.500 (multiplicity 2)

Order of stability, best first: entry 2, entry 1